Entry 1:
VASP calculation (GGA-PBEsol) on a relaxed K2MgTc crystal.

## Properties
total magnetization = 0.1 μB per formula unit
symmetry = Pmmm (47)
formation energy from the elements = 1.179 eV per atom

abc: 2.9141 5.3611 6.0595
angles: 90.00 90.00 90.00
Element x y z (fractional)
K (0.0000, 0.0000, 0.0000)
K (0.5000, 0.5000, 0.0000)
Mg (0.0000, 0.5000, 0.5000)
Tc (0.5000, 0.0000, 0.5000)

---

Entry 2:
VASP calculation (GGA-PBEsol) on a relaxed LaCr2InHg crystal.

## Properties
total magnetization = 6.5 μB per formula unit
symmetry = P4/mmm (123)
formation energy from the elements = 1.530 eV per atom

abc: 4.8474 4.8474 5.7687
angles: 90.00 90.00 90.00
Element x y z (fractional)
La (0.0000, 0.0000, 0.0000)
Cr (0.0000, 0.5000, 0.0000)
Cr (0.5000, 0.0000, 0.0000)
In (0.5000, 0.5000, 0.5000)
Hg (0.0000, 0.0000, 0.5000)

---

Entry 3:
VASP calculation (GGA-PBEsol) on a relaxed NaMnP3 crystal.

## Properties
total magnetization = 1.5 μB per formula unit
symmetry = Pm-3m (221)
formation energy from the elements = 0.193 eV per atom

abc: 4.4426 4.4426 4.4426
angles: 90.00 90.00 90.00
Element x y z (fractional)
Na (0.0000, 0.0000, 0.0000)
Mn (0.5000, 0.5000, 0.5000)
P (0.0000, 0.5000, 0.5000)
P (0.5000, 0.0000, 0.5000)
P (0.5000, 0.5000, 0.0000)

---

Entry 4:
VASP calculation (GGA-PBEsol) on a relaxed ZnRe2Ru crystal.

## Properties
total magnetization = 0.0 μB per formula unit
symmetry = C2/m (12)
formation energy from the elements = 0.185 eV per atom

abc: 9.1629 2.7497 4.5581
angles: 90.00 101.35 90.00
Element x y z (fractional)
Zn (0.0000, 0.0000, 0.0000)
Zn (0.5000, 0.5000, 0.0000)
Re (0.2416, 0.0000, 0.7427)
Re (0.2584, 0.5000, 0.2573)
Re (0.7416, 0.5000, 0.7427)
Re (0.7584, 0.0000, 0.2573)
Ru (0.0000, 0.5000, 0.5000)
Ru (0.5000, 0.0000, 0.5000)

---

Entry 5:
VASP calculation (GGA-PBEsol) on a relaxed CdGaRe2 crystal.

## Properties
total magnetization = 0.0 μB per formula unit
symmetry = Fm-3m (225)
formation energy from the elements = 0.762 eV per atom

abc: 6.2438 6.2438 6.2438
angles: 90.00 90.00 90.00
Element x y z (fractional)
Cd (0.0000, 0.0000, 0.0000)
Cd (0.0000, 0.5000, 0.5000)
Cd (0.5000, 0.0000, 0.5000)
Cd (0.5000, 0.5000, 0.0000)
Ga (0.0000, 0.0000, 0.5000)
Ga (0.0000, 0.5000, 0.0000)
Ga (0.5000, 0.0000, 0.0000)
Ga (0.5000, 0.5000, 0.5000)
Re (0.2500, 0.2500, 0.2500)
Re (0.2500, 0.2500, 0.7500)
Re (0.2500, 0.7500, 0.2500)
Re (0.2500, 0.7500, 0.7500)
Re (0.7500, 0.2500, 0.2500)
Re (0.7500, 0.2500, 0.7500)
Re (0.7500, 0.7500, 0.2500)
Re (0.7500, 0.7500, 0.7500)

---

Entry 6:
VASP calculation (GGA-PBEsol) on a relaxed CrPbO2 crystal.

## Properties
total magnetization = 3.1 μB per formula unit
symmetry = R-3m (166)
formation energy from raw total energies = -2.97 eV per formula unit

abc: 3.6845 3.6845 18.5839
angles: 90.00 90.00 120.00
Element x y z (fractional)
Cr (0.0000, 0.0000, 0.0000)
Cr (0.3333, 0.6667, 0.6667)
Cr (0.6667, 0.3333, 0.3333)
Pb (0.0000, 0.0000, 0.5000)
Pb (0.3333, 0.6667, 0.1667)
Pb (0.6667, 0.3333, 0.8333)
O (0.0000, 0.0000, 0.0957)
O (0.0000, 0.0000, 0.9043)
O (0.3333, 0.6667, 0.5709)
O (0.3333, 0.6667, 0.7624)
O (0.6667, 0.3333, 0.2376)
O (0.6667, 0.3333, 0.4291)

---

Entry 7:
VASP calculation (GGA-PBEsol) on a relaxed Hf3TlBr crystal.

## Properties
total magnetization = 0.0 μB per formula unit
symmetry = Pm-3m (221)
formation energy from raw total energies = 7.28 eV per formula unit

abc: 5.2791 5.2791 5.2791
angles: 90.00 90.00 90.00
Element x y z (fractional)
Hf (0.0000, 0.0000, 0.5000)
Hf (0.0000, 0.5000, 0.0000)
Hf (0.5000, 0.0000, 0.0000)
Tl (0.0000, 0.0000, 0.0000)
Br (0.5000, 0.5000, 0.5000)

---

Entry 8:
VASP calculation (GGA-PBEsol) on a relaxed KNbNi2Br crystal.

## Properties
total magnetization = 3.5 μB per formula unit
symmetry = P4/mmm (123)
formation energy from raw total energies = 11.43 eV per formula unit

abc: 4.3293 4.3293 5.8925
angles: 90.00 90.00 90.00
Element x y z (fractional)
K (0.0000, 0.0000, 0.0000)
Nb (0.0000, 0.0000, 0.5000)
Ni (0.0000, 0.5000, 0.0000)
Ni (0.5000, 0.0000, 0.0000)
Br (0.5000, 0.5000, 0.5000)

---

Entry 9:
VASP calculation (GGA-PBEsol) on a relaxed Ag2HgOs crystal.

## Properties
total magnetization = 0.0 μB per formula unit
symmetry = P4mm (99)
formation energy from the elements = 0.546 eV per atom

abc: 2.7882 2.7882 8.5313
angles: 90.00 90.00 90.00
Element x y z (fractional)
Ag (0.0000, 0.0000, 0.0000)
Ag (0.5000, 0.5000, 0.2470)
Hg (0.0000, 0.0000, 0.5105)
Os (0.5000, 0.5000, 0.7644)

---

Entry 10:
VASP calculation (GGA-PBEsol) on a relaxed Hg2SbOs crystal.

## Properties
total magnetization = 0.0 μB per formula unit
symmetry = P4/mmm (123)
formation energy from raw total energies = 3.64 eV per formula unit

abc: 4.8004 4.8004 3.4041
angles: 90.00 90.00 90.00
Element x y z (fractional)
Hg (0.0000, 0.5000, 0.0000)
Hg (0.5000, 0.0000, 0.0000)
Sb (0.0000, 0.0000, 0.5000)
Os (0.5000, 0.5000, 0.5000)

---

Entry 11:
VASP calculation (GGA-PBEsol) on a relaxed Dy2O3 crystal.

## Properties
total magnetization = 0.0 μB per formula unit
symmetry = C2/m (12)
formation energy from raw total energies = -18.07 eV per formula unit

abc: 7.1186 7.1186 8.5489
angles: 99.72 99.72 28.22
Element x y z (fractional)
Dy (0.0332, 0.0332, 0.3126)
Dy (0.3095, 0.3095, 0.3628)
Dy (0.3649, 0.3649, 0.0132)
Dy (0.6351, 0.6351, 0.9868)
Dy (0.6905, 0.6905, 0.6372)
Dy (0.9668, 0.9668, 0.6874)
O (0.1283, 0.1283, 0.7829)
O (0.1749, 0.1749, 0.4705)
O (0.2058, 0.2058, 0.1241)
O (0.4718, 0.4718, 0.8440)
O (0.5000, 0.5000, 0.5000)
O (0.5282, 0.5282, 0.1560)
O (0.7942, 0.7942, 0.8759)
O (0.8251, 0.8251, 0.5295)
O (0.8717, 0.8717, 0.2171)

---

Entry 12:
VASP calculation (GGA-PBEsol) on a relaxed In2Ni21B6 crystal.

## Properties
total magnetization = 0.0 μB per formula unit
symmetry = Fm-3m (225)
formation energy from the elements = -0.311 eV per atom

abc: 7.3926 7.3926 7.3926
angles: 60.00 60.00 60.00
Element x y z (fractional)
In (0.2500, 0.2500, 0.2500)
In (0.7500, 0.7500, 0.7500)
Ni (0.0000, 0.0000, 0.0000)
Ni (0.0000, 0.0000, 0.3364)
Ni (0.0000, 0.0000, 0.6636)
Ni (0.0000, 0.3364, 0.0000)
Ni (0.0000, 0.3364, 0.6636)
Ni (0.0000, 0.6636, 0.0000)
Ni (0.0000, 0.6636, 0.3364)
Ni (0.1581, 0.6140, 0.6140)
Ni (0.3364, 0.0000, 0.0000)
Ni (0.3364, 0.0000, 0.6636)
Ni (0.3364, 0.6636, 0.0000)
Ni (0.3860, 0.3860, 0.3860)
Ni (0.3860, 0.3860, 0.8419)
Ni (0.3860, 0.8419, 0.3860)
Ni (0.6140, 0.1581, 0.6140)
Ni (0.6140, 0.6140, 0.1581)
Ni (0.6140, 0.6140, 0.6140)
Ni (0.6636, 0.0000, 0.0000)
Ni (0.6636, 0.0000, 0.3364)
Ni (0.6636, 0.3364, 0.0000)
Ni (0.8419, 0.3860, 0.3860)
B (0.2723, 0.2723, 0.7277)
B (0.2723, 0.7277, 0.2723)
B (0.2723, 0.7277, 0.7277)
B (0.7277, 0.2723, 0.2723)
B (0.7277, 0.2723, 0.7277)
B (0.7277, 0.7277, 0.2723)

---

Entry 13:
VASP calculation (GGA-PBEsol) on a relaxed AgW crystal.

## Properties
total magnetization = 0.0 μB per formula unit
symmetry = P6_3/mmc (194)
formation energy from the elements = 1.994 eV per atom

abc: 3.9940 3.9940 5.3246
angles: 90.00 90.00 120.00
Element x y z (fractional)
Ag (0.0000, 0.0000, 0.0000)
Ag (0.0000, 0.0000, 0.5000)
W (0.3333, 0.6667, 0.2500)
W (0.6667, 0.3333, 0.7500)

---

Entry 14:
VASP calculation (GGA-PBEsol) on a relaxed Mg2AgSe crystal.

## Properties
total magnetization = 0.0 μB per formula unit
symmetry = Imm2 (44)
formation energy from raw total energies = -1.81 eV per formula unit

abc: 3.5333 3.7096 12.5963
angles: 90.00 90.00 90.00
Element x y z (fractional)
Mg (0.0000, 0.0000, 0.0000)
Mg (0.0000, 0.5000, 0.2453)
Mg (0.5000, 0.0000, 0.7453)
Mg (0.5000, 0.5000, 0.5000)
Ag (0.0000, 0.0000, 0.4138)
Ag (0.5000, 0.5000, 0.9138)
Se (0.0000, 0.5000, 0.6704)
Se (0.5000, 0.0000, 0.1704)

---

Entry 15:
VASP calculation (GGA-PBEsol) on a relaxed Mg2Au crystal.

## Properties
total magnetization = 0.0 μB per formula unit
symmetry = I4/mmm (139)
formation energy from the elements = -0.411 eV per atom

abc: 4.5058 4.5058 6.3902
angles: 90.00 90.00 90.00
Element x y z (fractional)
Mg (0.0000, 0.5000, 0.2500)
Mg (0.0000, 0.5000, 0.7500)
Mg (0.5000, 0.0000, 0.2500)
Mg (0.5000, 0.0000, 0.7500)
Au (0.0000, 0.0000, 0.0000)
Au (0.5000, 0.5000, 0.5000)

---

Entry 16:
VASP calculation (GGA-PBEsol) on a relaxed SrTaCoH2 crystal.

## Properties
total magnetization = 0.0 μB per formula unit
symmetry = P4/mmm (123)
total energy = -4.782 eV per atom

abc: 4.1543 4.1543 4.3839
angles: 90.00 90.00 90.00
Element x y z (fractional)
Sr (0.0000, 0.0000, 0.0000)
Ta (0.5000, 0.5000, 0.0000)
Co (0.5000, 0.5000, 0.5000)
H (0.0000, 0.5000, 0.5000)
H (0.5000, 0.0000, 0.5000)

---

Entry 17:
VASP calculation (GGA-PBEsol) on a relaxed ScTiAg2Rh crystal.

## Properties
total magnetization = 2.0 μB per formula unit
symmetry = P4/mmm (123)
formation energy from the elements = 0.909 eV per atom

abc: 4.8728 4.8728 4.4649
angles: 90.00 90.00 90.00
Element x y z (fractional)
Sc (0.0000, 0.0000, 0.0000)
Ti (0.5000, 0.5000, 0.5000)
Ag (0.0000, 0.5000, 0.0000)
Ag (0.5000, 0.0000, 0.0000)
Rh (0.0000, 0.0000, 0.5000)

---

Entry 18:
VASP calculation (GGA-PBEsol) on a relaxed KMn2Re crystal.

## Properties
total magnetization = 6.2 μB per formula unit
symmetry = P4/mmm (123)
relative energy among the computed polymorphs = 0.000 eV per atom
formation energy from the elements = 0.791 eV per atom

abc: 2.9839 2.9839 8.5655
angles: 90.00 90.00 90.00
Element x y z (fractional)
K (0.0000, 0.0000, 0.0000)
Mn (0.5000, 0.5000, 0.3326)
Mn (0.5000, 0.5000, 0.6674)
Re (0.0000, 0.0000, 0.5000)

---

Entry 19:
VASP calculation (GGA-PBEsol) on a relaxed CaMg2Hg crystal.

## Properties
total magnetization = 0.0 μB per formula unit
symmetry = P4mm (99)
formation energy from the elements = -0.271 eV per atom

abc: 3.6256 3.6256 7.4289
angles: 90.00 90.00 90.00
Element x y z (fractional)
Ca (0.0000, 0.0000, 0.0000)
Mg (0.0000, 0.0000, 0.4583)
Mg (0.5000, 0.5000, 0.6930)
Hg (0.5000, 0.5000, 0.2543)

---

Entry 20:
VASP calculation (GGA-PBEsol) on a relaxed KCaAg2 crystal.

## Properties
total magnetization = 0.0 μB per formula unit
symmetry = Cm (8)
relative energy among the computed polymorphs = 0.119 eV per atom
formation energy from the elements = 0.053 eV per atom

abc: 11.6575 3.5201 5.4422
angles: 90.00 107.29 90.00
Element x y z (fractional)
K (0.0000, 0.0000, 0.0000)
K (0.5000, 0.5000, 0.0000)
Ca (0.3010, 0.5000, 0.3621)
Ca (0.8010, 0.0000, 0.3621)
Ag (0.0516, 0.5000, 0.5337)
Ag (0.2351, 0.0000, 0.7986)
Ag (0.5516, 0.0000, 0.5337)
Ag (0.7351, 0.5000, 0.7986)